Crystalline Na2AlGa2 at its relaxed geometry, computed with PBE.

Cell: 6.792 6.792 4.989 Å, 90.00 90.00 90.00°
Fractional positions:
Na 0.175 0.325 0.000
Na 0.325 0.825 0.000
Na 0.675 0.175 0.000
Na 0.825 0.675 0.000
Al 0.000 0.000 0.500
Al 0.500 0.500 0.500
Ga 0.132 0.632 0.500
Ga 0.368 0.132 0.500
Ga 0.632 0.868 0.500
Ga 0.868 0.368 0.500

M_tot: 0.00 Bohr magnetons per cell
Symmetry: No. 127
Energy of formation: -0.03 eV/atom

***

Crystalline BaMo5 at its relaxed geometry, computed with PBE.

Cell: 5.575 5.575 4.608 Å, 90.00 90.00 130.42°
Fractional positions:
Ba 0.000 0.000 0.000
Mo 0.181 0.819 0.500
Mo 0.326 0.674 0.000
Mo 0.500 0.500 0.500
Mo 0.674 0.326 0.000
Mo 0.819 0.181 0.500

M_tot: 0.00 Bohr magnetons per cell
Symmetry: No. 65
Energy of formation: 0.90 eV/atom

***

Crystalline TbVZn4 at its relaxed geometry, computed with PBE.

Cell: 5.239 5.239 5.239 Å, 60.00 60.00 60.00°
Fractional positions:
Tb 0.000 0.000 0.000
V 0.250 0.250 0.250
Zn 0.128 0.624 0.624
Zn 0.624 0.128 0.624
Zn 0.624 0.624 0.128
Zn 0.624 0.624 0.624

M_tot: 3.18 Bohr magnetons per cell
Symmetry: No. 216
Energy of formation: -0.16 eV/atom

***

Crystalline SmDy2Y3P6 at its relaxed geometry, computed with PBE.

Cell: 6.976 6.976 6.976 Å, 99.59 99.59 119.99°
Fractional positions:
Sm 0.000 0.000 0.000
Dy 0.333 0.667 0.000
Dy 0.667 0.333 0.000
Y 0.166 0.834 0.500
Y 0.500 0.500 0.500
Y 0.834 0.166 0.500
P 0.084 0.420 0.251
P 0.253 0.253 0.749
P 0.420 0.084 0.251
P 0.580 0.916 0.749
P 0.747 0.747 0.251
P 0.916 0.580 0.749

M_tot: 0.00 Bohr magnetons per cell
Symmetry: No. 12
Energy of formation: -1.61 eV/atom

***

Crystalline La4PdPt at its relaxed geometry, computed with PBE.

Cell: 8.914 8.914 7.270 Å, 106.08 106.08 123.25°
Fractional positions:
La 0.035 0.459 0.748
La 0.200 0.294 0.247
La 0.294 0.200 0.747
La 0.459 0.035 0.248
La 0.541 0.965 0.752
La 0.706 0.800 0.253
La 0.800 0.706 0.753
La 0.965 0.541 0.252
Pd 0.412 0.588 0.750
Pd 0.588 0.412 0.250
Pt 0.085 0.915 0.250
Pt 0.915 0.085 0.750

M_tot: 0.00 Bohr magnetons per cell
Symmetry: No. 15
Energy of formation: -0.62 eV/atom

***

Crystalline VOsRh at its relaxed geometry, computed with PBE.

Cell: 4.336 4.336 2.641 Å, 90.00 90.00 120.00°
Fractional positions:
V 0.000 0.000 0.000
Os 0.333 0.667 0.500
Rh 0.667 0.333 0.500

M_tot: 0.00 Bohr magnetons per cell
Symmetry: No. 187
Energy of formation: 0.03 eV/atom

***

Crystalline LiAu2N at its relaxed geometry, computed with PBE.

Cell: 7.051 7.051 7.051 Å, 134.01 134.01 67.07°
Fractional positions:
Li 0.000 0.000 0.000
Li 0.750 0.250 0.500
Au 0.309 0.625 0.184
Au 0.375 0.559 0.684
Au 0.441 0.125 0.816
Au 0.875 0.691 0.316
N 0.250 0.750 0.500
N 0.500 0.500 0.000

M_tot: 0.00 Bohr magnetons per cell
Symmetry: No. 122
E: -3.81 eV/atom

***

Crystalline KPr2NdSe4 at its relaxed geometry, computed with PBE.

Cell: 7.510 4.273 7.522 Å, 90.00 108.75 90.00°
Fractional positions:
K 0.000 0.000 0.000
Pr 0.500 0.000 0.500
Pr 0.500 0.500 0.000
Nd 0.000 0.500 0.500
Se 0.252 0.000 0.744
Se 0.261 0.500 0.263
Se 0.739 0.500 0.737
Se 0.748 0.000 0.256

M_tot: 0.00 Bohr magnetons per cell
Symmetry: No. 10
E: -5.43 eV/atom

***

Crystalline AgTe2Ru at its relaxed geometry, computed with PBE.

Cell: 7.230 7.230 7.230 Å, 154.31 146.33 42.83°
Fractional positions:
Ag 0.000 0.000 0.000
Te 0.377 0.377 0.000
Te 0.655 0.155 0.500
Ru 0.217 0.717 0.500

M_tot: 0.00 Bohr magnetons per cell
Symmetry: No. 44
E: -4.42 eV/atom

***

Crystalline GdErN at its relaxed geometry, computed with PBE.

Cell: 3.500 3.500 5.971 Å, 90.00 90.00 120.00°
Fractional positions:
Gd 0.000 0.000 0.000
Er 0.333 0.667 0.451
N 0.667 0.333 0.242

M_tot: 8.13 Bohr magnetons per cell
Symmetry: No. 156
E: -10.03 eV/atom

***

Crystalline Cs2NbTe4Au at its relaxed geometry, computed with PBE.

Cell: 15.757 14.010 8.482 Å, 85.19 62.37 32.44°
Fractional positions:
Cs 0.057 0.057 0.693
Cs 0.307 0.307 0.943
Cs 0.693 0.693 0.057
Cs 0.943 0.943 0.307
Nb 0.125 0.125 0.125
Nb 0.875 0.875 0.875
Te 0.048 0.317 0.400
Te 0.265 0.600 0.683
Te 0.317 0.048 0.735
Te 0.400 0.735 0.048
Te 0.600 0.265 0.952
Te 0.683 0.952 0.265
Te 0.735 0.400 0.317
Te 0.952 0.683 0.600
Au 0.375 0.375 0.375
Au 0.625 0.625 0.625

M_tot: 0.00 Bohr magnetons per cell
Symmetry: No. 70
E: -4.15 eV/atom

***

Crystalline Ti2Ga7Tc2 at its relaxed geometry, computed with PBE.

Cell: 6.342 6.342 4.994 Å, 107.33 107.33 95.18°
Fractional positions:
Ti 0.156 0.844 0.000
Ti 0.844 0.156 0.000
Ga 0.000 0.000 0.500
Ga 0.075 0.580 0.324
Ga 0.388 0.388 0.641
Ga 0.420 0.925 0.676
Ga 0.580 0.075 0.324
Ga 0.612 0.612 0.359
Ga 0.925 0.420 0.676
Tc 0.260 0.260 0.026
Tc 0.740 0.740 0.974

M_tot: 0.00 Bohr magnetons per cell
Symmetry: No. 12
Energy of formation: -0.19 eV/atom

***

Crystalline KIn2GaOs at its relaxed geometry, computed with PBE.

Cell: 5.207 5.207 5.684 Å, 90.00 90.00 90.00°
Fractional positions:
K 0.000 0.000 0.000
In 0.000 0.500 0.500
In 0.500 0.000 0.500
Ga 0.000 0.000 0.500
Os 0.500 0.500 0.000

M_tot: 2.64 Bohr magnetons per cell
Symmetry: No. 123
Energy of formation: 1.41 eV/atom

***

Crystalline Na2W2Br at its relaxed geometry, computed with PBE.

Cell: 9.795 9.795 9.795 Å, 158.92 158.92 29.99°
Fractional positions:
Na 0.094 0.094 0.000
Na 0.906 0.906 0.000
W 0.250 0.750 0.500
W 0.750 0.250 0.500
Br 0.500 0.500 0.000

M_tot: 0.00 Bohr magnetons per cell
Symmetry: No. 139
E: -5.73 eV/atom

***

Crystalline K2Rb4SiP2 at its relaxed geometry, computed with PBE.

Cell: 10.104 10.104 6.747 Å, 103.43 103.43 57.08°
Fractional positions:
K 0.247 0.247 0.005
K 0.753 0.753 0.995
Rb 0.136 0.658 0.602
Rb 0.342 0.864 0.398
Rb 0.658 0.136 0.602
Rb 0.864 0.342 0.398
Si 0.000 0.000 0.000
P 0.058 0.058 0.773
P 0.942 0.942 0.227

M_tot: 0.00 Bohr magnetons per cell
Symmetry: No. 12
E: -2.53 eV/atom

***

Crystalline Mg2ZrRh at its relaxed geometry, computed with PBE.

Cell: 3.957 3.957 4.768 Å, 90.00 90.00 90.00°
Fractional positions:
Mg 0.000 0.500 0.000
Mg 0.500 0.000 0.000
Zr 0.000 0.000 0.500
Rh 0.500 0.500 0.500

M_tot: 0.00 Bohr magnetons per cell
Symmetry: No. 123
Energy of formation: -0.31 eV/atom

***

Crystalline Pr2PuCo2 at its relaxed geometry, computed with PBE.

Cell: 5.977 5.977 7.337 Å, 98.58 98.58 61.78°
Fractional positions:
Pr 0.033 0.268 0.147
Pr 0.268 0.033 0.647
Pr 0.732 0.967 0.353
Pr 0.967 0.732 0.853
Pu 0.412 0.588 0.250
Pu 0.588 0.412 0.750
Co 0.209 0.492 0.487
Co 0.492 0.209 0.987
Co 0.508 0.791 0.013
Co 0.791 0.508 0.513

M_tot: 8.66 Bohr magnetons per cell
Symmetry: No. 15
Energy of formation: -0.07 eV/atom

***

Crystalline Ta2Ti2Mo at its relaxed geometry, computed with PBE.

Cell: 7.578 7.578 7.578 Å, 152.75 152.75 38.92°
Fractional positions:
Ta 0.097 0.097 0.000
Ta 0.903 0.903 0.000
Ti 0.250 0.750 0.500
Ti 0.750 0.250 0.500
Mo 0.500 0.500 0.000

M_tot: 0.00 Bohr magnetons per cell
Symmetry: No. 139
Energy of formation: 0.64 eV/atom

***

Crystalline CoPAuS2 at its relaxed geometry, computed with PBE.

Cell: 4.580 4.580 4.151 Å, 90.00 90.00 90.00°
Fractional positions:
Co 0.000 0.000 0.000
P 0.000 0.000 0.500
Au 0.500 0.500 0.500
S 0.000 0.500 0.000
S 0.500 0.000 0.000

M_tot: 0.00 Bohr magnetons per cell
Symmetry: No. 123
E: -4.20 eV/atom

***

Crystalline Dy6AlZn2 at its relaxed geometry, computed with PBE.

Cell: 11.173 11.173 11.173 Å, 154.34 154.34 36.60°
Fractional positions:
Dy 0.085 0.585 0.500
Dy 0.250 0.750 0.500
Dy 0.415 0.915 0.500
Dy 0.585 0.085 0.500
Dy 0.750 0.250 0.500
Dy 0.915 0.415 0.500
Al 0.000 0.000 0.000
Zn 0.332 0.332 0.000
Zn 0.668 0.668 0.000

M_tot: 0.00 Bohr magnetons per cell
Symmetry: No. 139
Energy of formation: 0.01 eV/atom